No. 1
Compound: Li3Al
Source: Alexandria via LeMat-Bulk
Functional: SCAN
Structure: PBEsol geometry

Properties
total magnetic moment	0.01	μB/atom
DFT formation energy	-0.12	eV per atom

Unit cell a=4.359 b=5.545 c=5.545 alpha=99.44 beta=90.00 gamma=90.00
Fractional positions:
Al1 0.750 0.600 0.400
Al2 0.250 0.400 0.600
Li1 0.750 0.176 0.824
Li2 0.250 0.824 0.176
Li3 0.750 0.654 0.892
Li4 0.250 0.346 0.108
Li5 0.250 0.892 0.654
Li6 0.750 0.108 0.346



No. 2
Compound: La3C2Br3
Source: Alexandria via LeMat-Bulk
Functional: SCAN
Structure: PBEsol geometry

Properties
E_form (uncorrected)	-1478	meV per atom
total magnetic moment	0.00	μB/atom

Unit cell a=10.244 b=10.244 c=16.990 alpha=90.00 beta=90.00 gamma=112.16
Fractional positions:
La1 0.162 0.838 0.250
La2 0.838 0.162 0.750
La3 0.983 0.451 0.605
La4 0.017 0.549 0.105
La5 0.451 0.983 0.395
La6 0.549 0.017 0.895
La7 0.224 0.253 0.393
La8 0.776 0.747 0.893
La9 0.253 0.224 0.607
La10 0.747 0.776 0.107
La11 0.608 0.324 0.516
La12 0.392 0.676 0.016
La13 0.324 0.608 0.484
La14 0.676 0.392 0.984
La15 0.885 0.138 0.496
La16 0.115 0.862 0.996
La17 0.138 0.885 0.504
La18 0.862 0.115 0.004
La19 0.378 0.622 0.250
La20 0.622 0.378 0.750
La21 0.991 0.479 0.874
La22 0.009 0.521 0.374
La23 0.479 0.991 0.126
La24 0.521 0.009 0.626
C1 0.859 0.663 0.024
C2 0.141 0.337 0.524
C3 0.663 0.859 0.976
C4 0.337 0.141 0.476
C5 0.916 0.601 0.968
C6 0.084 0.399 0.468
C7 0.601 0.916 0.032
C8 0.399 0.084 0.532
C9 0.712 0.273 0.650
C10 0.288 0.727 0.150
C11 0.273 0.712 0.350
C12 0.727 0.288 0.850
C13 0.786 0.228 0.905
C14 0.214 0.772 0.405
C15 0.228 0.786 0.095
C16 0.772 0.214 0.595
Br1 0.245 0.732 0.631
Br2 0.755 0.268 0.131
Br3 0.732 0.245 0.369
Br4 0.268 0.755 0.869
Br5 0.855 0.619 0.503
Br6 0.145 0.381 0.003
Br7 0.619 0.855 0.497
Br8 0.381 0.145 0.997
Br9 0.140 0.370 0.740
Br10 0.860 0.630 0.240
Br11 0.370 0.140 0.260
Br12 0.630 0.860 0.760
Br13 0.509 0.495 0.384
Br14 0.491 0.505 0.884
Br15 0.495 0.509 0.616
Br16 0.505 0.491 0.116
Br17 0.900 0.634 0.741
Br18 0.100 0.366 0.241
Br19 0.634 0.900 0.259
Br20 0.366 0.100 0.759
Br21 0.029 0.015 0.133
Br22 0.971 0.985 0.633
Br23 0.015 0.029 0.867
Br24 0.985 0.971 0.367



No. 3
Compound: KZrP2Cl
Source: Alexandria via LeMat-Bulk
Functional: SCAN
Structure: PBEsol geometry

Properties
E_form (uncorrected)	-824	meV per atom
total magnetic moment	0.00	μB/atom

Unit cell a=4.982 b=4.982 c=5.267 alpha=90.00 beta=90.00 gamma=90.00
Fractional positions:
P1 0.000 0.500 0.000
P2 0.500 0.000 0.000
K1 0.500 0.500 0.500
Zr1 0.000 0.000 0.000
Cl1 0.000 0.000 0.500



No. 4
Compound: GaGeAs2Br
Source: Alexandria via LeMat-Bulk
Functional: SCAN
Structure: PBEsol geometry

Properties
E_form (uncorrected)	652	meV per atom
total magnetic moment	0.00	μB/atom

Unit cell a=4.864 b=4.864 c=5.012 alpha=90.00 beta=90.00 gamma=90.00
Fractional positions:
As1 0.000 0.500 0.000
As2 0.500 0.000 0.000
Ga1 0.000 0.000 0.000
Ge1 0.500 0.500 0.500
Br1 0.000 0.000 0.500



No. 5
Compound: CrAgSe2
Source: Alexandria via LeMat-Bulk
Functional: SCAN
Structure: PBEsol geometry

Properties
E_form (uncorrected)	-593	meV per atom
total magnetic moment	0.75	μB/atom

Unit cell a=3.677 b=3.677 c=7.211 alpha=75.23 beta=75.23 gamma=60.00
Last column: magnetic moment on the atom in μB.
Fractional positions:
Cr1 0.000 0.000 0.001  3.00
Se1 0.729 0.729 0.813  -0.09
Se2 0.266 0.266 0.203  -0.05
Ag1 0.850 0.850 0.450  0.00



No. 6
Compound: NaAgH3
Source: Alexandria via LeMat-Bulk
Functional: SCAN
Structure: PBEsol geometry

Properties
total magnetic moment	0.00	μB/atom

Unit cell a=3.696 b=3.696 c=3.696 alpha=90.00 beta=90.00 gamma=90.00
Fractional positions:
Na1 0.500 0.500 0.500
Ag1 0.000 0.000 0.000
H1 0.000 0.500 0.000
H2 0.000 0.000 0.500
H3 0.500 0.000 0.000



No. 7
Compound: Sr6Ca2Fe7CoO24
Source: Alexandria via LeMat-Bulk
Functional: SCAN
Structure: PBEsol geometry

Properties
E_form (uncorrected)	-2270	meV per atom
total magnetic moment	0.65	μB/atom

Unit cell a=7.538 b=7.544 c=7.544 alpha=90.02 beta=90.00 gamma=90.00
Last column: magnetic moment on the atom in μB.
Fractional positions:
Sr1 0.749 0.251 0.749  0.01
Sr2 0.749 0.251 0.251  0.01
Sr3 0.251 0.251 0.251  0.01
Sr4 0.749 0.749 0.749  0.01
Sr5 0.749 0.749 0.251  0.01
Sr6 0.251 0.749 0.749  0.01
Ca1 0.252 0.252 0.748  0.01
Ca2 0.252 0.748 0.252  0.01
Fe1 0.002 0.500 0.000  3.14
Fe2 0.002 0.500 0.500  3.09
Fe3 0.498 0.500 0.000  3.09
Fe4 0.002 0.000 0.000  3.19
Fe5 0.002 0.000 0.500  3.14
Fe6 0.498 0.000 0.000  3.14
Fe7 0.498 0.000 0.500  3.09
Co1 0.499 0.500 0.500  0.69
O1 0.003 0.250 0.998  0.13
O2 0.003 0.249 0.502  0.11
O3 0.497 0.249 0.998  0.11
O4 0.496 0.248 0.502  0.10
O5 0.003 0.750 0.002  0.13
O6 0.003 0.751 0.498  0.11
O7 0.497 0.751 0.002  0.11
O8 0.496 0.752 0.498  0.10
O9 0.750 0.500 0.000  0.11
O10 0.752 0.500 0.500  0.10
O11 0.249 0.500 0.000  0.11
O12 0.248 0.500 0.500  0.10
O13 0.750 0.000 0.000  0.13
O14 0.750 0.000 0.500  0.11
O15 0.250 0.000 0.000  0.13
O16 0.249 0.000 0.500  0.11
O17 0.003 0.498 0.751  0.11
O18 0.003 0.502 0.249  0.11
O19 0.496 0.498 0.752  0.10
O20 0.496 0.502 0.248  0.10
O21 0.003 0.002 0.750  0.13
O22 0.003 0.998 0.250  0.13
O23 0.497 0.002 0.751  0.11
O24 0.497 0.998 0.249  0.11



No. 8
Compound: CaLaAg2
Source: Alexandria via LeMat-Bulk
Functional: SCAN
Structure: PBEsol geometry

Properties
total magnetic moment	0.00	μB/atom
DFT formation energy	-0.35	eV per atom
ΔE to the lowest computed polymorph	0	meV/atom

Unit cell a=5.215 b=5.215 c=5.215 alpha=60.00 beta=60.00 gamma=60.00
Fractional positions:
Ca1 0.000 0.000 0.000
Ag1 0.250 0.250 0.250
Ag2 0.750 0.750 0.750
La1 0.500 0.500 0.500



No. 9
Compound: TiHgNF2
Source: Alexandria via LeMat-Bulk
Functional: SCAN
Structure: PBEsol geometry

Properties
E_form (uncorrected)	-35	meV per atom
total magnetic moment	0.28	μB/atom

Unit cell a=4.106 b=4.402 c=4.402 alpha=90.00 beta=90.00 gamma=90.00
Last column: magnetic moment on the atom in μB.
Fractional positions:
N1 0.500 0.000 0.000  -0.48
F1 0.000 0.000 0.500  0.00
F2 0.000 0.500 0.000  0.00
Hg1 0.000 0.000 0.000  -0.06
Ti1 0.500 0.500 0.500  1.87



No. 10
Compound: ZnCo2Ru
Source: Alexandria via LeMat-Bulk
Functional: SCAN
Structure: PBEsol geometry

Properties
total magnetic moment	0.91	μB/atom
DFT formation energy	0.14	eV per atom

Unit cell a=2.580 b=2.580 c=6.891 alpha=90.00 beta=90.00 gamma=90.00
Last column: magnetic moment on the atom in μB.
Fractional positions:
Ru1 0.500 0.500 0.000  0.42
Zn1 0.500 0.500 0.500  -0.05
Co1 0.000 0.000 0.752  1.66
Co2 0.000 0.000 0.248  1.66



No. 11
Compound: CoH2Pt2
Source: Alexandria via LeMat-Bulk
Functional: SCAN
Structure: PBEsol geometry

Properties
total magnetic moment	0.00	μB/atom

Unit cell a=3.669 b=5.147 c=5.147 alpha=90.00 beta=90.00 gamma=90.00
Fractional positions:
H1 0.000 0.191 0.691
H2 0.000 0.691 0.809
H3 0.000 0.809 0.309
H4 0.000 0.309 0.191
Co1 0.000 0.000 0.000
Co2 0.000 0.500 0.500
Pt1 0.500 0.187 0.687
Pt2 0.500 0.687 0.813
Pt3 0.500 0.813 0.313
Pt4 0.500 0.313 0.187



No. 12
Compound: NaMo2P3O12
Source: Alexandria via LeMat-Bulk
Functional: SCAN
Structure: PBEsol geometry

Properties
E_form (uncorrected)	-2322	meV per atom
total magnetic moment	0.22	μB/atom

Unit cell a=8.685 b=8.685 c=8.900 alpha=60.79 beta=60.79 gamma=60.00
Last column: magnetic moment on the atom in μB.
Fractional positions:
Na1 0.000 0.000 0.000  0.00
Na2 0.500 0.500 0.500  0.00
Mo1 0.143 0.143 0.570  1.79
Mo2 0.357 0.357 0.930  1.79
Mo3 0.857 0.857 0.430  1.79
Mo4 0.643 0.643 0.070  1.79
P1 0.250 0.962 0.250  0.02
P2 0.538 0.250 0.250  0.02
P3 0.962 0.538 0.250  0.02
P4 0.750 0.038 0.750  0.02
P5 0.462 0.750 0.750  0.02
P6 0.038 0.462 0.750  0.02
O1 0.920 0.061 0.740  0.00
O2 0.279 0.920 0.740  0.00
O3 0.061 0.279 0.740  0.00
O4 0.221 0.439 0.760  0.00
O5 0.580 0.221 0.760  0.00
O6 0.439 0.580 0.760  0.00
O7 0.080 0.939 0.260  0.00
O8 0.721 0.080 0.260  0.00
O9 0.939 0.721 0.260  0.00
O10 0.779 0.561 0.240  0.00
O11 0.420 0.779 0.240  0.00
O12 0.561 0.420 0.240  0.00
O13 0.993 0.372 0.422  0.01
O14 0.212 0.993 0.422  0.01
O15 0.372 0.212 0.422  0.01
O16 0.288 0.128 0.078  0.01
O17 0.507 0.288 0.078  0.01
O18 0.128 0.507 0.078  0.01
O19 0.007 0.628 0.578  0.01
O20 0.788 0.007 0.578  0.01
O21 0.628 0.788 0.578  0.01
O22 0.712 0.872 0.922  0.01
O23 0.493 0.712 0.922  0.01
O24 0.872 0.493 0.922  0.01



no.,DFT total energy (eV/atom)
1,-3.846
2,-27.465
3,-14.384
4,-18.403
5,-23.070
6,-9.187
7,-13.438
8,-29.224
9,-20.148
10,-20.597
11,-32.840
12,-12.320